{
  "formula": "La3CeNd2Te6",
  "functional": "PBE-GGA",
  "state": "optimized geometry",
  "cell": [[9.884, -2.262, 0.000], [9.884, 2.262, 0.000], [-2.074, 0.000, 8.885]],
  "species": ["La", "La", "La", "Ce", "Nd", "Nd", "Te", "Te", "Te", "Te", "Te", "Te"],
  "frac_coords": [[0.000, 0.000, 0.000], [0.333, 0.333, 0.667], [0.667, 0.667, 0.333], [0.000, 0.000, 0.500], [0.333, 0.333, 0.167], [0.667, 0.667, 0.833], [0.165, 0.165, 0.586], [0.168, 0.168, 0.080], [0.499, 0.499, 0.253], [0.501, 0.501, 0.747], [0.832, 0.832, 0.920], [0.835, 0.835, 0.414]],
  "total_magnetization_mub_per_atom": 0.11,
  "raw_formation_energy_mev_per_atom": -1502.7
}